A geometry-optimized TbHo2Hf structure, computed with PBE-GGA.

Geometry as extended XYZ:
```
4
Lattice="4.8305 0.0000 0.0000 0.0000 4.8305 0.0000 0.0000 0.0000 4.8373" Properties=species:S:1:pos:R:3 pbc="T T T"
Tb 0.0000 0.0000 0.0000
Ho 0.0000 2.4152 2.4186
Ho 2.4152 0.0000 2.4186
Hf 2.4152 2.4152 0.0000
```

Output
- Crystal system: tetragonal
- VASP energy: -23.18 eV for the cell shown
- Mass density: 9.8 g/cm3
- ΔH_f (0 K): 0.14 eV per atom

=====

A geometry-optimized HfTe2HN structure, computed with PBE-GGA.

Geometry as extended XYZ:
```
5
Lattice="5.3343 0.0000 0.0000 0.0000 5.3343 0.0000 0.0000 0.0000 2.9532" Properties=species:S:1:pos:R:3 pbc="T T T"
Hf 0.0000 0.0000 0.0000
Te 0.0000 2.6672 1.4766
Te 2.6672 0.0000 1.4766
H 2.6672 2.6672 1.4766
N 2.6672 2.6672 0.0000
```

Output
- Crystal system: tetragonal
- VASP energy: -24.00 eV for the cell shown
- Mass density: 8.9 g/cm3

=====

A geometry-optimized SmLu2Cd structure, computed with PBE-GGA.

Geometry as extended XYZ:
```
4
Lattice="3.5458 0.0000 0.0000 0.0000 3.5458 0.0000 0.0000 0.0000 9.0099" Properties=species:S:1:pos:R:3 pbc="T T T"
Sm 0.0000 0.0000 0.0000
Lu 1.7729 1.7729 2.5046
Lu 1.7729 1.7729 6.5053
Cd 0.0000 0.0000 4.5050
```

Output
- Crystal system: tetragonal
- VASP energy: -15.26 eV for the cell shown
- Mass density: 9.0 g/cm3
- ΔH_f (0 K): -0.15 eV per atom

=====

A geometry-optimized CsSr3Be structure, computed with PBE-GGA.

Geometry as extended XYZ:
```
5
Lattice="6.1900 0.0000 0.0000 0.0000 6.1900 0.0000 0.0000 0.0000 6.1900" Properties=species:S:1:pos:R:3 pbc="T T T"
Cs 0.0000 0.0000 0.0000
Sr 0.0000 0.0000 3.0950
Sr 0.0000 3.0950 0.0000
Sr 3.0950 0.0000 0.0000
Be 3.0950 3.0950 3.0950
```

Output
- Crystal system: cubic
- VASP energy: -2.25 eV for the cell shown
- Mass density: 2.8 g/cm3
- ΔH_f (0 K): 1.48 eV per atom